Record 1
Pm6Pr3Nd2In after structural relaxation, computed with GGA-PBE.

a b c (Å): 6.2678 10.8843 12.0356
angles (deg): 90.00 100.17 90.00
With the nearest neighbours (Å) after each atom.
Space group C2/m (No. 12)
Inequivalent atoms, fractional coordinates:
Pm (0.2429, 0.0000, 0.2534) x4  6 Pm 3.53-3.68, 1 In 3.57, 2 Nd 3.60, 3 Pr 3.66-3.69
Pm (0.2432, 0.1623, 0.7450) x8  6 Pm 3.53-3.68, 1 In 3.54, 2 Nd 3.59-3.60, 3 Pr 3.66-3.69
Pr (0.0000, 0.1692, 0.0000) x4  6 Pr 3.59-3.68, 6 Pm 3.66-3.69
Pr (0.0000, 0.5000, 0.0000) x2  6 Pr 3.60-3.63, 6 Pm 3.66-3.69
Nd (0.0000, 0.3338, 0.5000) x4  6 Pm 3.59-3.60, 3 In 3.62-3.63, 3 Nd 3.62-3.63
In (0.0000, 0.0000, 0.5000) x2  6 Pm 3.54-3.57, 6 Nd 3.62-3.63

N(E_F)   31.7 states/eV per cell

Record 2
Pm6Pr2Nd3In after structural relaxation, computed with GGA-PBE.

a b c (Å): 6.2618 10.8655 12.0343
angles (deg): 90.00 100.13 90.00
With the nearest neighbours (Å) after each atom.
Space group C2/m (No. 12)
Inequivalent atoms, fractional coordinates:
Pm (0.2421, 0.0000, 0.2519) x4  6 Pm 3.52-3.67, 1 In 3.58, 2 Pr 3.62, 3 Nd 3.64-3.68
Pm (0.2440, 0.1623, 0.7467) x8  6 Pm 3.52-3.67, 1 In 3.56, 2 Pr 3.61, 3 Nd 3.64-3.68
Pr (0.0000, 0.3334, 0.5000) x4  6 Pm 3.61-3.62, 3 In 3.62, 3 Pr 3.62
Nd (0.0000, 0.1687, 0.0000) x4  6 Nd 3.59-3.67, 6 Pm 3.64-3.68
Nd (0.0000, 0.5000, 0.0000) x2  6 Nd 3.60-3.63, 6 Pm 3.64-3.68
In (0.0000, 0.0000, 0.5000) x2  6 Pm 3.56-3.58, 6 Pr 3.62

N(E_F)   31.4 states/eV per cell

Record 3
PmNdPuIn after structural relaxation, computed with GGA-PBE.

a b c (Å): 7.8178 7.8178 7.8178
angles (deg): 90.00 90.00 90.00
With the nearest neighbours (Å) after each atom.
Space group F-43m (No. 216)
Inequivalent atoms, fractional coordinates:
Pm (0.0000, 0.0000, 0.0000) x4  4 Pu 3.39, 4 Nd 3.39
Nd (0.2500, 0.2500, 0.2500) x4  4 In 3.39, 4 Pm 3.39
Pu (0.2500, 0.2500, 0.7500) x4  4 In 3.39, 4 Pm 3.39
In (0.0000, 0.0000, 0.5000) x4  4 Nd 3.39, 4 Pu 3.39

N(E_F)   47.3 states/eV per cell

Record 4
PmNdInRh after structural relaxation, computed with GGA-PBE.

a b c (Å): 7.4163 7.4163 7.4163
angles (deg): 90.00 90.00 90.00
With the nearest neighbours (Å) after each atom.
Space group F-43m (No. 216)
Inequivalent atoms, fractional coordinates:
Pm (0.0000, 0.0000, 0.0000) x4  4 Rh 3.21, 4 In 3.21
Nd (0.0000, 0.0000, 0.5000) x4  4 In 3.21, 4 Rh 3.21
In (0.2500, 0.2500, 0.2500) x4  4 Nd 3.21, 4 Pm 3.21
Rh (0.2500, 0.2500, 0.7500) x4  4 Nd 3.21, 4 Pm 3.21

N(E_F)   14.6 states/eV per cell

Calculated ΔH_f (0 K) in order - -0.6 -0.6 0.1 -1.8 eV/f.u.
Calculated magnetization in order - 0.00 0.00 27.26 0.00 μB per cell
Calculated raw total energy in order - -4.643 -4.646 -6.634 -5.352 eV per atom